1.
Here is an optimized crystal structure of La2ScRh from Alexandria. Energies are from PBE-GGA.

a = 9.332 Å, b = 9.332 Å, c = 9.332 Å
α = 24.23°, β = 24.23°, γ = 24.23°
Atoms (fractional coordinates):
La: 0.010 0.010 0.010
La: 0.222 0.222 0.222
Rh: 0.492 0.492 0.492
Sc: 0.777 0.777 0.777

VASP energy: -6.20 eV per atom
energy of formation from the pure elements: -0.31 eV per atom
polymorph energy (0 for the lowest one): 0.045 eV per atom
calculated volume: 30.1 Å³ per atom

2.
Here is an optimized crystal structure of La2ScRh from Alexandria. Energies are from PBE-GGA.

a = 3.749 Å, b = 3.750 Å, c = 7.638 Å
α = 90.00°, β = 90.00°, γ = 90.00°
Atoms (fractional coordinates):
Sc: 0.500 0.500 0.750
La: 0.000 0.000 0.038
La: 0.000 0.000 0.462
Rh: 0.500 0.500 0.250

VASP energy: -6.14 eV per atom
energy of formation from the pure elements: -0.26 eV per atom
polymorph energy (0 for the lowest one): 0.104 eV per atom
calculated volume: 26.8 Å³ per atom

3.
Here is an optimized crystal structure of LaSc2Rh9 from Alexandria. Energies are from PBE-GGA.

a = 5.231 Å, b = 5.231 Å, c = 9.171 Å
α = 73.43°, β = 73.43°, γ = 60.00°
Atoms (fractional coordinates):
Rh: 0.413 0.413 0.257
Rh: 0.083 0.587 0.743
Rh: 0.334 0.334 0.999
Rh: 0.917 0.413 0.257
Rh: 0.500 0.500 0.500
Rh: 0.666 0.666 0.001
Rh: 0.587 0.587 0.743
Rh: 0.587 0.083 0.743
Rh: 0.413 0.917 0.257
La: 0.000 0.000 0.000
Sc: 0.141 0.141 0.577
Sc: 0.859 0.859 0.423

VASP energy: -7.51 eV per atom
energy of formation from the pure elements: -0.53 eV per atom
calculated volume: 17.1 Å³ per atom

4.
Here is an optimized crystal structure of La2ScRh from Alexandria. Energies are from PBE-GGA.

a = 6.133 Å, b = 6.133 Å, c = 6.133 Å
α = 143.66°, β = 127.48°, γ = 65.55°
Atoms (fractional coordinates):
La: 0.951 0.951 0.000
La: 0.549 0.549 0.000
Rh: 0.750 0.250 0.500
Sc: 0.250 0.750 0.500

VASP energy: -6.22 eV per atom
energy of formation from the pure elements: -0.33 eV per atom
polymorph energy (0 for the lowest one): 0.027 eV per atom
calculated volume: 26.8 Å³ per atom

5.
Here is an optimized crystal structure of La4ScRh from Alexandria. Energies are from PBE-GGA.

a = 6.345 Å, b = 6.345 Å, c = 6.345 Å
α = 60.00°, β = 60.00°, γ = 60.00°
Atoms (fractional coordinates):
La: 0.377 0.377 0.869
La: 0.869 0.377 0.377
La: 0.377 0.377 0.377
La: 0.377 0.869 0.377
Sc: 0.000 0.000 0.000
Rh: 0.750 0.750 0.750

VASP energy: -5.03 eV per atom
energy of formation from the pure elements: 0.53 eV per atom
calculated volume: 30.1 Å³ per atom

6.
Here is an optimized crystal structure of LaScRh from Alexandria. Energies are from PBE-GGA.

a = 4.670 Å, b = 4.670 Å, c = 4.670 Å
α = 60.00°, β = 60.00°, γ = 60.00°
Atoms (fractional coordinates):
Rh: 0.000 0.000 0.000
La: 0.750 0.750 0.750
Sc: 0.500 0.500 0.500

VASP energy: -5.94 eV per atom
energy of formation from the pure elements: 0.26 eV per atom
polymorph energy (0 for the lowest one): 0.898 eV per atom
calculated volume: 24.0 Å³ per atom

7.
Here is an optimized crystal structure of La2ScRh from Alexandria. Energies are from PBE-GGA.

a = 5.156 Å, b = 5.156 Å, c = 5.156 Å
α = 60.00°, β = 60.00°, γ = 60.00°
Site moments in Bohr magnetons follow the coordinates.
Atoms (fractional coordinates):
Sc: 0.750 0.750 0.750  0.15
La: 0.250 0.250 0.250  0.06
La: 0.000 0.000 0.000  0.12
Rh: 0.500 0.500 0.500  -0.02

VASP energy: -5.98 eV per atom
energy of formation from the pure elements: -0.10 eV per atom
polymorph energy (0 for the lowest one): 0.262 eV per atom
calculated volume: 24.2 Å³ per atom

8.
Here is an optimized crystal structure of La2Sc2Rh from Alexandria. Energies are from PBE-GGA.

a = 6.855 Å, b = 6.855 Å, c = 5.683 Å
α = 90.00°, β = 90.00°, γ = 90.00°
Atoms (fractional coordinates):
Sc: 0.340 0.840 0.000
Sc: 0.160 0.340 0.000
Sc: 0.840 0.660 0.000
Sc: 0.660 0.160 0.000
Rh: 0.000 0.000 0.000
Rh: 0.500 0.500 0.000
La: 0.331 0.169 0.500
La: 0.669 0.831 0.500
La: 0.169 0.669 0.500
La: 0.831 0.331 0.500

VASP energy: -6.23 eV per atom
energy of formation from the pure elements: -0.25 eV per atom
calculated volume: 26.7 Å³ per atom

9.
Here is an optimized crystal structure of La2ScRh from Alexandria. Energies are from PBE-GGA.

a = 8.476 Å, b = 8.476 Å, c = 6.783 Å
α = 51.33°, β = 51.33°, γ = 90.00°
Atoms (fractional coordinates):
Sc: 0.250 0.750 0.500
Sc: 0.500 0.500 0.000
La: 0.687 0.125 0.250
La: 0.063 0.625 0.250
La: 0.375 0.313 0.750
La: 0.875 0.937 0.750
Rh: 0.000 0.000 0.000
Rh: 0.750 0.250 0.500

VASP energy: -6.04 eV per atom
energy of formation from the pure elements: -0.15 eV per atom
polymorph energy (0 for the lowest one): 0.207 eV per atom
calculated volume: 28.5 Å³ per atom

10.
Here is an optimized crystal structure of LaScRh2 from Alexandria. Energies are from PBE-GGA.

a = 4.744 Å, b = 4.744 Å, c = 4.744 Å
α = 60.00°, β = 60.00°, γ = 60.00°
Atoms (fractional coordinates):
Rh: 0.000 0.000 0.000
Rh: 0.250 0.250 0.250
La: 0.500 0.500 0.500
Sc: 0.750 0.750 0.750

VASP energy: -6.85 eV per atom
energy of formation from the pure elements: -0.36 eV per atom
calculated volume: 18.9 Å³ per atom

11.
Here is an optimized crystal structure of La2ScRh from Alexandria. Energies are from PBE-GGA.

a = 9.299 Å, b = 9.299 Å, c = 9.299 Å
α = 24.11°, β = 24.11°, γ = 24.11°
Atoms (fractional coordinates):
Rh: 0.250 0.250 0.250
La: 0.982 0.982 0.982
La: 0.518 0.518 0.518
Sc: 0.750 0.750 0.750

VASP energy: -6.11 eV per atom
energy of formation from the pure elements: -0.22 eV per atom
polymorph energy (0 for the lowest one): 0.137 eV per atom
calculated volume: 29.5 Å³ per atom

12.
Here is an optimized crystal structure of LaScRh2 from Alexandria. Energies are from PBE-GGA.

a = 4.845 Å, b = 4.845 Å, c = 4.845 Å
α = 60.00°, β = 60.00°, γ = 60.00°
Atoms (fractional coordinates):
La: 0.500 0.500 0.500
Rh: 0.750 0.750 0.750
Rh: 0.250 0.250 0.250
Sc: 0.000 0.000 0.000

VASP energy: -7.21 eV per atom
energy of formation from the pure elements: -0.71 eV per atom
calculated volume: 20.1 Å³ per atom

13.
Here is an optimized crystal structure of LaScRh from Alexandria. Energies are from PBE-GGA.

a = 6.871 Å, b = 6.548 Å, c = 7.233 Å
α = 107.34°, β = 90.00°, γ = 90.00°
Atoms (fractional coordinates):
Rh: 0.551 0.477 0.282
Rh: 0.051 0.023 0.218
Rh: 0.949 0.977 0.782
Rh: 0.449 0.523 0.718
La: 0.344 0.213 0.924
La: 0.844 0.287 0.576
La: 0.656 0.787 0.076
La: 0.156 0.713 0.424
Sc: 0.143 0.703 0.913
Sc: 0.643 0.797 0.587
Sc: 0.357 0.203 0.413
Sc: 0.857 0.297 0.087

VASP energy: -6.75 eV per atom
energy of formation from the pure elements: -0.54 eV per atom
polymorph energy (0 for the lowest one): 0.097 eV per atom
calculated volume: 25.9 Å³ per atom

14.
Here is an optimized crystal structure of La2ScRh from Alexandria. Energies are from PBE-GGA.

a = 6.406 Å, b = 6.406 Å, c = 5.389 Å
α = 65.17°, β = 65.17°, γ = 32.98°
Atoms (fractional coordinates):
Rh: 0.516 0.516 0.482
Sc: 0.191 0.191 0.310
La: 0.795 0.795 0.706
La: 0.998 0.998 0.002

VASP energy: -6.24 eV per atom
energy of formation from the pure elements: -0.36 eV per atom
polymorph energy (0 for the lowest one): 0.000 eV per atom
calculated volume: 27.1 Å³ per atom

15.
Here is an optimized crystal structure of LaScRh2 from Alexandria. Energies are from PBE-GGA.

a = 3.870 Å, b = 3.870 Å, c = 5.738 Å
α = 90.00°, β = 90.00°, γ = 90.00°
Atoms (fractional coordinates):
Rh: 0.500 0.500 0.322
Rh: 0.000 0.000 0.940
La: 0.500 0.500 0.825
Sc: 0.000 0.000 0.412

VASP energy: -7.03 eV per atom
energy of formation from the pure elements: -0.54 eV per atom
calculated volume: 21.5 Å³ per atom

16.
Here is an optimized crystal structure of LaScRh from Alexandria. Energies are from PBE-GGA.

a = 6.784 Å, b = 6.784 Å, c = 3.365 Å
α = 75.64°, β = 75.64°, γ = 28.72°
Atoms (fractional coordinates):
La: 0.977 0.977 0.023
Rh: 0.314 0.314 0.686
Sc: 0.710 0.710 0.290

VASP energy: -6.71 eV per atom
energy of formation from the pure elements: -0.50 eV per atom
polymorph energy (0 for the lowest one): 0.134 eV per atom
calculated volume: 24.0 Å³ per atom

17.
Here is an optimized crystal structure of La2ScRh from Alexandria. Energies are from PBE-GGA.

a = 5.897 Å, b = 5.897 Å, c = 3.423 Å
α = 77.99°, β = 77.99°, γ = 115.59°
Atoms (fractional coordinates):
La: 0.000 0.000 0.000
La: 0.500 0.500 0.000
Rh: 0.500 0.000 0.500
Sc: 0.000 0.500 0.500

VASP energy: -5.89 eV per atom
energy of formation from the pure elements: -0.01 eV per atom
polymorph energy (0 for the lowest one): 0.350 eV per atom
calculated volume: 24.7 Å³ per atom

18.
Here is an optimized crystal structure of LaScRh2 from Alexandria. Energies are from PBE-GGA.

a = 5.877 Å, b = 5.877 Å, c = 5.877 Å
α = 140.63°, β = 140.63°, γ = 56.90°
Atoms (fractional coordinates):
La: 0.750 0.250 0.500
Rh: 0.250 0.750 0.500
Rh: 0.000 0.000 0.000
Sc: 0.500 0.500 0.000

VASP energy: -7.05 eV per atom
energy of formation from the pure elements: -0.56 eV per atom
calculated volume: 20.3 Å³ per atom

19.
Here is an optimized crystal structure of LaSc3Rh from Alexandria. Energies are from PBE-GGA.

a = 5.028 Å, b = 5.028 Å, c = 5.028 Å
α = 90.00°, β = 90.00°, γ = 90.00°
Atoms (fractional coordinates):
Sc: 0.500 0.000 0.000
Sc: 0.000 0.500 0.000
Sc: 0.000 0.000 0.500
Rh: 0.500 0.500 0.500
La: 0.000 0.000 0.000

VASP energy: -5.12 eV per atom
energy of formation from the pure elements: 1.14 eV per atom
polymorph energy (0 for the lowest one): 1.448 eV per atom
calculated volume: 25.4 Å³ per atom

20.
Here is an optimized crystal structure of LaScRh from Alexandria. Energies are from PBE-GGA.

a = 4.653 Å, b = 4.653 Å, c = 6.672 Å
α = 90.00°, β = 90.00°, γ = 90.00°
Atoms (fractional coordinates):
La: 0.500 0.000 0.125
La: 0.000 0.500 0.875
Sc: 0.500 0.500 0.500
Sc: 0.000 0.000 0.500
Rh: 0.000 0.500 0.278
Rh: 0.500 0.000 0.722

VASP energy: -6.84 eV per atom
energy of formation from the pure elements: -0.64 eV per atom
polymorph energy (0 for the lowest one): 0.000 eV per atom
calculated volume: 24.1 Å³ per atom